The following is a PBE calculation of BeTl after structural relaxation, from Alexandria.

a = 7.3360 Å, b = 7.3360 Å, c = 7.3360 Å
α = 90.00°, β = 90.00°, γ = 90.00°
Closest atoms and distances in Å follow each position.
Space group I-43m (No. 217)
Unique sites:
Be 0.1034 0.1034 0.1034 [8 per cell]  3 Be 2.14, 1 Tl 2.34
Tl 0.2128 0.2128 0.7872 [8 per cell]  4 Be 2.34-2.58

Calculated values
Size of the total moment in μB per atom: 0.000
Energy above the lowest structure with this stoichiometry in meV/atom: 44.3
ΔE_f in eV/atom: 0.482

=====

The following is a PBE calculation of BeTl2 after structural relaxation, from Alexandria.

a = 4.3662 Å, b = 14.2728 Å, c = 4.8846 Å
α = 90.00°, β = 90.00°, γ = 90.00°
Closest atoms and distances in Å follow each position.
Space group Cmcm (No. 63)
Unique sites:
Be 0.0000 0.1896 0.2500 [4 per cell]  4 Tl 2.45-2.72
Tl 0.0000 0.1770 0.7500 [4 per cell]  2 Be 2.45
Tl 0.0000 0.4242 0.7500 [4 per cell]  2 Be 2.72

Calculated values
Size of the total moment in μB per atom: 0.000
Energy above the lowest structure with this stoichiometry in meV/atom: 95.9
ΔE_f in eV/atom: 0.509

=====

The following is a PBE calculation of BeTl after structural relaxation, from Alexandria.

a = 6.9454 Å, b = 6.9454 Å, c = 6.9454 Å
α = 90.00°, β = 90.00°, γ = 90.00°
Closest atoms and distances in Å follow each position.
Space group Fd-3m (No. 227, origin choice 2)
Unique sites:
Be 0.1250 0.1250 0.1250 [8 per cell]  4 Tl 3.01, 4 Be 3.01
Tl 0.1250 0.1250 0.6250 [8 per cell]  4 Tl 3.01, 4 Be 3.01

Calculated values
Size of the total moment in μB per atom: 0.000
Energy above the lowest structure with this stoichiometry in meV/atom: 589.1
ΔE_f in eV/atom: 1.027